First-principles (GGA-PBEsol) data for a relaxed structure of AgBr3, as listed in Alexandria.

a b c (Å): 4.170 4.170 8.319
angles (deg): 75.49 75.49 60.00
Fractional positions:
Ag  0.500  0.500  0.500
Br  0.000  0.000  0.000
Br  0.893  0.893  0.321
Br  0.107  0.107  0.679

Results
- crystal system = trigonal
- ρ (g/cm3) = 4.814
- total moment (μB/f.u.) = 0.0
- VASP energy (Ry/atom) = -0.17330
- DOS at the Fermi energy (states/eV/atom) = 0.191
- uncorrected formation energy (kJ/mol of formula units) = -49

First-principles (GGA-PBEsol) data for a relaxed structure of VPO5, as listed in Alexandria.

a b c (Å): 6.169 7.145 7.546
angles (deg): 90.00 90.00 90.00
Fractional positions:
V  0.250  0.735  0.670
V  0.750  0.235  0.830
V  0.250  0.765  0.170
V  0.750  0.265  0.330
P  0.750  0.617  0.620
P  0.250  0.117  0.880
P  0.750  0.883  0.120
P  0.250  0.383  0.380
O  0.250  0.499  0.550
O  0.550  0.745  0.626
O  0.950  0.745  0.626
O  0.750  0.163  0.630
O  0.250  0.988  0.713
O  0.750  0.488  0.787
O  0.250  0.663  0.870
O  0.050  0.245  0.874
O  0.450  0.245  0.874
O  0.750  0.999  0.950
O  0.250  0.001  0.050
O  0.550  0.755  0.126
O  0.950  0.755  0.126
O  0.750  0.337  0.130
O  0.750  0.501  0.450
O  0.750  0.012  0.287
O  0.250  0.837  0.370
O  0.050  0.255  0.374
O  0.450  0.255  0.374
O  0.250  0.512  0.213

Results
- crystal system = orthorhombic
- ρ (g/cm3) = 3.233
- total moment (μB/f.u.) = 0.0
- VASP energy (Ry/atom) = -0.60312
- energy above the most stable polymorph in this dataset (kJ per mole of atoms) = 0.0
- DOS at the Fermi energy (states/eV/atom) = 0.000
- uncorrected formation energy (kJ/mol of formula units) = -1521

First-principles (GGA-PBEsol) data for a relaxed structure of InCu2Ru, as listed in Alexandria.

a b c (Å): 3.050 4.333 5.062
angles (deg): 115.34 107.54 90.00
Fractional positions:
Cu  0.744  0.744  0.489
Cu  0.256  0.256  0.511
In  0.500  0.000  0.000
Ru  0.000  0.500  0.000

Results
- crystal system = orthorhombic
- ρ (g/cm3) = 9.991
- total moment (μB/f.u.) = 0.0
- VASP energy (Ry/atom) = -0.38433
- DOS at the Fermi energy (states/eV/atom) = 0.570
- E_form (meV/atom) = 227

First-principles (GGA-PBEsol) data for a relaxed structure of AlReTe, as listed in Alexandria.

a b c (Å): 4.366 4.366 4.366
angles (deg): 60.00 60.00 60.00
Fractional positions:
Re  0.250  0.250  0.250
Te  0.000  0.000  0.000
Al  0.500  0.500  0.500

Results
- crystal system = cubic
- ρ (g/cm3) = 9.615
- total moment (μB/f.u.) = 0.0
- VASP energy (Ry/atom) = -0.47983
- energy above the most stable polymorph in this dataset (kJ per mole of atoms) = 0.0
- DOS at the Fermi energy (states/eV/atom) = 0.766
- uncorrected formation energy (kJ/mol of formula units) = 132

First-principles (GGA-PBEsol) data for a relaxed structure of FeCo, as listed in Alexandria.

a b c (Å): 3.923 4.833 4.833
angles (deg): 108.85 90.00 90.00
Fractional positions:
Co  0.500  0.505  0.750
Co  0.000  0.250  0.495
Co  0.500  0.495  0.250
Co  0.000  0.750  0.505
Fe  0.500  0.999  0.251
Fe  0.000  0.749  0.001
Fe  0.000  0.251  0.999
Fe  0.500  0.001  0.749

Results
- crystal system = orthorhombic
- ρ (g/cm3) = 8.790
- total moment (μB/f.u.) = 4.3
- VASP energy (Ry/atom) = -0.61116
- DOS at the Fermi energy (states/eV/atom) = 0.922
- E_form (meV/atom) = 35

First-principles (GGA-PBEsol) data for a relaxed structure of TaTeS2N, as listed in Alexandria.

a b c (Å): 3.823 4.972 4.972
angles (deg): 90.00 90.00 90.00
Fractional positions:
N  0.500  0.000  0.000
S  0.000  0.000  0.500
S  0.000  0.500  0.000
Te  0.000  0.000  0.000
Ta  0.500  0.500  0.500

Results
- crystal system = tetragonal
- ρ (g/cm3) = 6.795
- total moment (μB/f.u.) = 2.2
- VASP energy (Ry/atom) = -0.39415
- energy above the most stable polymorph in this dataset (kJ per mole of atoms) = 131.1
- DOS at the Fermi energy (states/eV/atom) = 0.876
- uncorrected formation energy (kJ/mol of formula units) = 633

> Look up the VASP energy of the third one.

-0.38433 Ry/atom

> Which of these has the lowest ρ?

VPO5